Below is crystalline ZrTc3Se at its relaxed geometry, with properties calculated at the PBE-GGA level.

Output
SG: Pm-3m (221)
raw formation energy: 2.03 eV per atom
calculated volume: 22.778 Å³/atom
total energy: -6.59 eV per atom
distance to the lowest polymorph of the same formula: 1476.9 meV/atom

POSCAR file:
```
ZrTc3Se
1.0
-3.712 -2.277 -2.130
3.084 -2.200 -3.023
0.453 -3.670 3.134
Tc Zr Se
3 1 1
direct
0.000 0.000 0.500
0.000 0.500 0.000
0.500 0.000 0.000
0.000 0.000 0.000
0.500 0.500 0.500
```